[1]
VASP calculation (PBE) on an optimized crystal structure of NaDy2Au3.

E_form: -0.68 eV per atom
Total moment: 0.00 Bohr magnetons per cell
VASP energy: -4.0725 eV per atom

```
data_NaDy2Au3
_space_group_name_H-M_alt 'P 4/m m m'
_space_group_IT_number 123
_space_group_name_Hall '-P 4 2'
_cell_length_a 3.5833
_cell_length_b 3.5833
_cell_length_c 10.8678
_cell_angle_alpha 90.00
_cell_angle_beta 90.00
_cell_angle_gamma 90.00
loop_
_atom_site_label
_atom_site_type_symbol
_atom_site_fract_x
_atom_site_fract_y
_atom_site_fract_z
Na1 Na 0.0000 0.0000 0.0000
Dy1 Dy 0.0000 0.0000 0.3296
Au1 Au 0.5000 0.5000 0.1824
Au2 Au 0.5000 0.5000 0.5000
```

=====

[2]
VASP calculation (PBE) on an optimized crystal structure of NaDyAu2.

E_form: -0.61 eV per atom
Total moment: 0.00 Bohr magnetons per cell
VASP energy: -3.7266 eV per atom

```
data_NaDyAu2
_space_group_name_H-M_alt 'P 4/m m m'
_space_group_IT_number 123
_space_group_name_Hall '-P 4 2'
_cell_length_a 3.5909
_cell_length_b 3.5909
_cell_length_c 7.3353
_cell_angle_alpha 90.00
_cell_angle_beta 90.00
_cell_angle_gamma 90.00
loop_
_atom_site_label
_atom_site_type_symbol
_atom_site_fract_x
_atom_site_fract_y
_atom_site_fract_z
Na1 Na 0.0000 0.0000 0.0000
Dy1 Dy 0.0000 0.0000 0.5000
Au1 Au 0.5000 0.5000 0.2794
```

=====

[3]
VASP calculation (PBE) on an optimized crystal structure of NaDy5Au6.

E_form: -0.78 eV per atom
Total moment: 0.00 Bohr magnetons per cell
VASP energy: -4.4457 eV per atom

```
data_NaDy5Au6
_space_group_name_H-M_alt 'C m m m'
_space_group_IT_number 65
_space_group_name_Hall '-C 2 2'
_cell_length_a 5.0336
_cell_length_b 15.2912
_cell_length_c 7.1851
_cell_angle_alpha 90.00
_cell_angle_beta 90.00
_cell_angle_gamma 90.00
loop_
_atom_site_label
_atom_site_type_symbol
_atom_site_fract_x
_atom_site_fract_y
_atom_site_fract_z
Na1 Na 0.0000 0.0000 0.0000
Dy1 Dy 0.0000 0.0000 0.5000
Dy2 Dy 0.0000 0.3341 0.5000
Dy3 Dy 0.0000 0.3396 0.0000
Au1 Au 0.0000 0.1752 0.2508
Au2 Au 0.0000 0.5000 0.2658
```

=====

[4]
VASP calculation (PBE) on an optimized crystal structure of NaDyAu2.

E_form: -0.47 eV per atom
Total moment: 0.00 Bohr magnetons per cell
VASP energy: -3.5892 eV per atom

```
data_NaDyAu2
_space_group_name_H-M_alt 'R -3 m'
_space_group_IT_number 166
_space_group_name_Hall '-R 3 2"'
_cell_length_a 3.9575
_cell_length_b 3.9575
_cell_length_c 23.2883
_cell_angle_alpha 90.00
_cell_angle_beta 90.00
_cell_angle_gamma 120.00
loop_
_atom_site_label
_atom_site_type_symbol
_atom_site_fract_x
_atom_site_fract_y
_atom_site_fract_z
Na1 Na 0.0000 0.0000 0.0000
Dy1 Dy 0.0000 0.0000 0.5000
Au1 Au 0.0000 0.0000 0.2440
```

=====

[5]
VASP calculation (PBE) on an optimized crystal structure of Na2Dy2AuO6.

Uncorrected formation energy: -1.956 eV/atom
Total moment: 2.05 Bohr magnetons per cell
VASP energy: -6.0352 eV per atom

```
data_Na2Dy2AuO6
_space_group_name_H-M_alt 'C 1 2/m 1'
_space_group_IT_number 12
_cell_length_a 5.7826
_cell_length_b 10.2249
_cell_length_c 5.8651
_cell_angle_alpha 90.00
_cell_angle_beta 104.85
_cell_angle_gamma 90.00
loop_
_space_group_symop_operation_xyz
'x,y,z'
'-x,-y,-z'
'-x,y,-z'
'x,-y,z'
'x+1/2,y+1/2,z'
'-x+1/2,-y+1/2,-z'
'-x+1/2,y+1/2,-z'
'x+1/2,-y+1/2,z'
loop_
_atom_site_label
_atom_site_type_symbol
_atom_site_fract_x
_atom_site_fract_y
_atom_site_fract_z
Na1 Na 0.0000 0.1513 0.0000
Dy1 Dy 0.0000 0.3355 0.5000
Au1 Au 0.0000 0.0000 0.5000
O1 O 0.2137 0.1697 0.7052
O2 O 0.2465 0.0000 0.3025
```

=====

[6]
VASP calculation (PBE) on an optimized crystal structure of NaDyPbAu.

E_form: -0.42 eV per atom
Total moment: 0.00 Bohr magnetons per cell
VASP energy: -3.6496 eV per atom

```
data_NaDyPbAu
_space_group_name_H-M_alt 'F -4 3 m'
_space_group_IT_number 216
_space_group_name_Hall 'F -4 2 3'
_cell_length_a 7.3214
_cell_length_b 7.3214
_cell_length_c 7.3214
_cell_angle_alpha 90.00
_cell_angle_beta 90.00
_cell_angle_gamma 90.00
loop_
_atom_site_label
_atom_site_type_symbol
_atom_site_fract_x
_atom_site_fract_y
_atom_site_fract_z
Na1 Na 0.0000 0.0000 0.0000
Dy1 Dy 0.0000 0.0000 0.5000
Pb1 Pb 0.2500 0.2500 0.2500
Au1 Au 0.2500 0.2500 0.7500
```

=====

[7]
VASP calculation (PBE) on an optimized crystal structure of NaDyPdAu.

E_form: -0.56 eV per atom
Total moment: 0.00 Bohr magnetons per cell
VASP energy: -4.1538 eV per atom

```
data_NaDyPdAu
_space_group_name_H-M_alt 'F -4 3 m'
_space_group_IT_number 216
_space_group_name_Hall 'F -4 2 3'
_cell_length_a 6.9609
_cell_length_b 6.9609
_cell_length_c 6.9609
_cell_angle_alpha 90.00
_cell_angle_beta 90.00
_cell_angle_gamma 90.00
loop_
_atom_site_label
_atom_site_type_symbol
_atom_site_fract_x
_atom_site_fract_y
_atom_site_fract_z
Na1 Na 0.0000 0.0000 0.0000
Dy1 Dy 0.0000 0.0000 0.5000
Pd1 Pd 0.2500 0.2500 0.7500
Au1 Au 0.2500 0.2500 0.2500
```

=====

[8]
VASP calculation (PBE) on an optimized crystal structure of NaDyPtAu.

E_form: -0.67 eV per atom
Total moment: 0.00 Bohr magnetons per cell
VASP energy: -4.4817 eV per atom

```
data_NaDyPtAu
_space_group_name_H-M_alt 'F -4 3 m'
_space_group_IT_number 216
_space_group_name_Hall 'F -4 2 3'
_cell_length_a 6.9305
_cell_length_b 6.9305
_cell_length_c 6.9305
_cell_angle_alpha 90.00
_cell_angle_beta 90.00
_cell_angle_gamma 90.00
loop_
_atom_site_label
_atom_site_type_symbol
_atom_site_fract_x
_atom_site_fract_y
_atom_site_fract_z
Na1 Na 0.0000 0.0000 0.0000
Dy1 Dy 0.0000 0.0000 0.5000
Pt1 Pt 0.2500 0.2500 0.2500
Au1 Au 0.2500 0.2500 0.7500
```

=====

[9]
VASP calculation (PBE) on an optimized crystal structure of NaDyAuS2.

Uncorrected formation energy: -1.076 eV/atom
Total moment: 0.00 Bohr magnetons per cell
VASP energy: -4.5668 eV per atom

```
data_NaDyAuS2
_space_group_name_H-M_alt 'P 1 2/c 1'
_space_group_IT_number 13
_cell_length_a 6.4347
_cell_length_b 5.0752
_cell_length_c 7.4808
_cell_angle_alpha 90.00
_cell_angle_beta 90.90
_cell_angle_gamma 90.00
loop_
_space_group_symop_operation_xyz
'x,y,z'
'-x,-y,-z'
'-x,y,-z+1/2'
'x,-y,z+1/2'
loop_
_atom_site_label
_atom_site_type_symbol
_atom_site_fract_x
_atom_site_fract_y
_atom_site_fract_z
Na1 Na 0.0000 0.0110 0.2500
Dy1 Dy 0.5000 0.4989 0.7500
Au1 Au 0.5000 0.0000 0.0000
S1 S 0.2263 0.3283 0.9969
```

=====

[10]
VASP calculation (PBE) on an optimized crystal structure of NaDyAuSe2.

Uncorrected formation energy: -1.022 eV/atom
Total moment: 0.00 Bohr magnetons per cell
VASP energy: -4.2551 eV per atom

```
data_NaDyAuSe2
_space_group_name_H-M_alt 'P 1 2/c 1'
_space_group_IT_number 13
_cell_length_a 6.9708
_cell_length_b 4.9412
_cell_length_c 7.7099
_cell_angle_alpha 90.00
_cell_angle_beta 96.61
_cell_angle_gamma 90.00
loop_
_space_group_symop_operation_xyz
'x,y,z'
'-x,-y,-z'
'-x,y,-z+1/2'
'x,-y,z+1/2'
loop_
_atom_site_label
_atom_site_type_symbol
_atom_site_fract_x
_atom_site_fract_y
_atom_site_fract_z
Na1 Na 0.0000 0.0966 0.2500
Dy1 Dy 0.5000 0.4946 0.7500
Au1 Au 0.5000 0.0000 0.0000
Se1 Se 0.2174 0.3430 0.9736
```